(1)
This record from Alexandria describes a relaxed ScPPb4 crystal. The functional is PBE.

E_form: 0.434 eV/atom
Volume: 29.19 Å³/atom
Magnetization: 0.000 μB per atom
E: -3.995 eV per atom
D(E_F): 5.33 states/eV/f.u.

```
data_ScPPb4
_cell_length_a 8.8817
_cell_length_b 8.8817
_cell_length_c 8.8817
_cell_angle_alpha 90.00
_cell_angle_beta 90.00
_cell_angle_gamma 90.00
_space_group_name_H-M_alt 'F -4 3 m'
_space_group_IT_number 216
_space_group_name_Hall 'F -4 2 3'
loop_
_atom_site_label
_atom_site_type_symbol
_atom_site_fract_x
_atom_site_fract_y
_atom_site_fract_z
_atom_site_occupancy
Sc1 Sc 0.0000 0.0000 0.0000 1
P1 P 0.2500 0.2500 0.7500 1
Pb1 Pb 0.1251 0.1251 0.3749 1
```


(2)
This record from Alexandria describes a relaxed ScPPb2 crystal. The functional is PBE.

E_form: -0.049 eV/atom
Volume: 24.08 Å³/atom
Magnetization: 0.000 μB per atom
E: -4.838 eV per atom
D(E_F): 2.38 states/eV/f.u.

```
data_ScPPb2
_cell_length_a 4.0345
_cell_length_b 4.7823
_cell_length_c 4.9923
_cell_angle_alpha 90.00
_cell_angle_beta 90.00
_cell_angle_gamma 90.00
_space_group_name_H-M_alt 'P m m m'
_space_group_IT_number 47
_space_group_name_Hall '-P 2 2'
loop_
_atom_site_label
_atom_site_type_symbol
_atom_site_fract_x
_atom_site_fract_y
_atom_site_fract_z
_atom_site_occupancy
Sc1 Sc 0.0000 0.0000 0.0000 1
P1 P 0.5000 0.5000 0.0000 1
Pb1 Pb 0.0000 0.5000 0.5000 1
Pb2 Pb 0.5000 0.0000 0.5000 1
```


(3)
This record from Alexandria describes a relaxed ScP2Pb crystal. The functional is PBE.

E_form: -0.324 eV/atom
Volume: 28.90 Å³/atom
Magnetization: 0.000 μB per atom
E: -5.538 eV per atom
D(E_F): 4.42 states/eV/f.u.

```
data_ScP2Pb
_cell_length_a 6.0805
_cell_length_b 6.0805
_cell_length_c 12.5067
_cell_angle_alpha 90.00
_cell_angle_beta 90.00
_cell_angle_gamma 90.00
_space_group_name_H-M_alt 'I -4 2 d'
_space_group_IT_number 122
_space_group_name_Hall 'I -4 2bw'
loop_
_atom_site_label
_atom_site_type_symbol
_atom_site_fract_x
_atom_site_fract_y
_atom_site_fract_z
_atom_site_occupancy
Sc1 Sc 0.0000 0.0000 0.0000 1
P1 P 0.2218 0.2500 0.1250 1
Pb1 Pb 0.0000 0.0000 0.5000 1
```